# 1
Crystalline Li2OsRh at its relaxed geometry. Source: Alexandria via LeMat-Bulk, functional PBE-GGA. Values from VASP.

Summary:
**DFT total energy**: -5.492 eV per atom
**Calculated volume**: 59 Å³ per cell
**Total magnetization**: 0.00 μB per formula unit
**Energy relative to the lowest polymorph listed for this composition**: 0.1421 eV per atom
**Energy of formation from the pure elements**: 0.11 eV/atom

Quantum ESPRESSO input file:
```
&SYSTEM
  ibrav = 0, nat = 4, ntyp = 3
/
ATOMIC_SPECIES
Li 6.94 Li.upf
Os 190.23 Os.upf
Rh 102.91 Rh.upf
CELL_PARAMETERS angstrom
1.3672 0.7894 9.1321
-1.3672 0.7894 9.1321
0.0000 -1.5788 9.1321
ATOMIC_POSITIONS crystal
Li 0.0000 0.0000 0.0000
Li 0.2385 0.2385 0.2385
Os 0.7487 0.7487 0.7487
Rh 0.4927 0.4927 0.4927
```

***

# 2
Crystalline Li2OsRh at its relaxed geometry. Source: Alexandria via LeMat-Bulk, functional PBE-GGA. Values from VASP.

Summary:
**DFT total energy**: -5.414 eV per atom
**Calculated volume**: 51 Å³ per cell
**Total magnetization**: 0.00 μB per formula unit
**Energy relative to the lowest polymorph listed for this composition**: 0.2196 eV per atom
**Energy of formation from the pure elements**: 0.19 eV/atom

Quantum ESPRESSO input file:
```
&SYSTEM
  ibrav = 0, nat = 4, ntyp = 3
/
ATOMIC_SPECIES
Li 6.94 Li.upf
Os 190.23 Os.upf
Rh 102.91 Rh.upf
CELL_PARAMETERS angstrom
-1.3830 2.1717 4.2414
1.3830 -2.1717 4.2414
1.3830 2.1717 -4.2414
ATOMIC_POSITIONS crystal
Li 0.0000 0.0000 0.0000
Li 0.7674 0.2674 0.5000
Os 0.2623 0.7623 0.5000
Rh 0.5148 0.5148 0.0000
```

***

# 3
Crystalline LiOs2Rh at its relaxed geometry. Source: Alexandria via LeMat-Bulk, functional PBE-GGA. Values from VASP.

Summary:
**DFT total energy**: -7.660 eV per atom
**Calculated volume**: 55 Å³ per cell
**Total magnetization**: 0.00 μB per formula unit
**Energy relative to the lowest polymorph listed for this composition**: 0.1563 eV per atom
**Energy of formation from the pure elements**: 0.27 eV/atom

Quantum ESPRESSO input file:
```
&SYSTEM
  ibrav = 0, nat = 4, ntyp = 3
/
ATOMIC_SPECIES
Li 6.94 Li.upf
Os 190.23 Os.upf
Rh 102.91 Rh.upf
CELL_PARAMETERS angstrom
2.5112 -4.1318 0.0000
2.5112 4.1318 0.0000
0.0000 0.0000 2.6744
ATOMIC_POSITIONS crystal
Li 0.0000 0.0000 0.0000
Os 0.0000 0.5000 0.5000
Os 0.5000 0.0000 0.5000
Rh 0.5000 0.5000 0.0000
```

***

# 4
Crystalline LiOs2Rh at its relaxed geometry. Source: Alexandria via LeMat-Bulk, functional PBE-GGA. Values from VASP.

Summary:
**DFT total energy**: -7.416 eV per atom
**Calculated volume**: 55 Å³ per cell
**Total magnetization**: 0.00 μB per formula unit
**Energy relative to the lowest polymorph listed for this composition**: 0.4004 eV per atom
**Energy of formation from the pure elements**: 0.52 eV/atom

Quantum ESPRESSO input file:
```
&SYSTEM
  ibrav = 0, nat = 4, ntyp = 3
/
ATOMIC_SPECIES
Li 6.94 Li.upf
Os 190.23 Os.upf
Rh 102.91 Rh.upf
CELL_PARAMETERS angstrom
4.5300 0.0000 0.0000
0.0000 4.5300 0.0000
0.0000 0.0000 2.6897
ATOMIC_POSITIONS crystal
Li 0.0000 0.0000 0.0000
Os 0.0000 0.5000 0.5000
Os 0.5000 0.0000 0.5000
Rh 0.5000 0.5000 0.0000
```

***

> The highest energy of formation from the pure elements belongs to which entry?

number 4

***

> The lowest energy relative to the lowest polymorph listed for this composition belongs to which entry?

number 1

***

> Which value of energy of formation from the pure elements does entry 2 give?

0.19 eV/atom

***

Copy entry 1 word for word.
Crystalline Li2OsRh at its relaxed geometry. Source: Alexandria via LeMat-Bulk, functional PBE-GGA. Values from VASP.

Summary:
**DFT total energy**: -5.492 eV per atom
**Calculated volume**: 59 Å³ per cell
**Total magnetization**: 0.00 μB per formula unit
**Energy relative to the lowest polymorph listed for this composition**: 0.1421 eV per atom
**Energy of formation from the pure elements**: 0.11 eV/atom

Quantum ESPRESSO input file:
```
&SYSTEM
  ibrav = 0, nat = 4, ntyp = 3
/
ATOMIC_SPECIES
Li 6.94 Li.upf
Os 190.23 Os.upf
Rh 102.91 Rh.upf
CELL_PARAMETERS angstrom
1.3672 0.7894 9.1321
-1.3672 0.7894 9.1321
0.0000 -1.5788 9.1321
ATOMIC_POSITIONS crystal
Li 0.0000 0.0000 0.0000
Li 0.2385 0.2385 0.2385
Os 0.7487 0.7487 0.7487
Rh 0.4927 0.4927 0.4927
```